VASP calculation (GGA-PBE) on a relaxed Na2U2PdSe6 crystal.

Cell and atoms, written as extended XYZ:
```
11
Lattice="6.992 -0.119 0.091 -3.559 6.019 0.091 -1.193 -2.050 7.079" Properties=species:S:1:pos:R:3 pbc="T T T"
Se 1.798 -1.105 5.182
Se 0.441 4.955 2.079
Se -1.849 1.017 5.182
Se 0.521 0.895 2.065
Se 4.089 2.833 2.079
Se 1.719 2.955 5.196
U 2.858 0.914 3.630
U -0.618 2.936 3.630
Na -1.857 5.029 0.091
Na 5.290 0.871 0.091
Pd -0.596 -1.025 3.539
```

The calculated density comes out at 6.2 g/cm3. The crystal system is monoclinic. The value obtained for the energy relative to the elements, uncorrected is -10.70 eV per formula unit. The total energy comes out at -62.02 eV for the cell shown. For the volume, the calculation gives 27.050 Å³ per atom.